No. 1
Entry from Alexandria: an optimized crystal structure of TcHgIr2 (PBE-GGA).

Calculated values
For the density of states at the Fermi level, the calculation gives 4.67 states/eV/cell. The value obtained for the formation energy is 563 meV/atom. Its space-group type is P4/mmm.

Cell lengths 3.8847, 4.0677, 4.0677 Å; angles 90.00, 90.00, 90.00 degrees
Closest atoms and distances in Å follow each position.
Fractional positions:
Hg 0.5000 0.0000 0.5000  8 Ir 2.81, 4 Tc 2.88
Ir 0.0000 0.0000 0.0000  4 Hg 2.81, 4 Tc 2.81, 4 Ir 2.88
Ir 0.0000 0.5000 0.5000  4 Tc 2.81, 4 Hg 2.81, 4 Ir 2.88
Tc 0.5000 0.5000 0.0000  8 Ir 2.81, 4 Hg 2.88

No. 2
Entry from Alexandria: an optimized crystal structure of TcHg2Ir (PBE-GGA).

Calculated values
For the density of states at the Fermi level, the calculation gives 3.59 states/eV/cell. The value obtained for the formation energy is 614 meV/atom. Its space-group type is C2/m. The value obtained for the excess energy over the best structure of this formula in the dataset is 0.403 eV/atom.

Cell lengths 4.9530, 4.9530, 5.1450 Å; angles 80.16, 80.16, 34.37 degrees
Closest atoms and distances in Å follow each position.
Fractional positions:
Hg 0.0002 0.0002 0.9994  3 Ir 2.88-2.89, 3 Tc 2.88-2.89, 6 Hg 2.93-2.96
Hg 0.4998 0.4998 0.5006  3 Ir 2.88-2.89, 3 Tc 2.88-2.89, 6 Hg 2.93-2.96
Ir 0.7500 0.7500 0.7500  6 Hg 2.88-2.89, 2 Ir 2.93, 4 Tc 2.96
Tc 0.2500 0.2500 0.2500  6 Hg 2.88-2.89, 2 Tc 2.93, 4 Ir 2.96